[1]
TlZnCl3: relaxed, PBE-GGA.

abc: 8.2345 8.7510 12.4109
angles: 90.00 129.79 90.00
Closest atoms and distances in Å follow each position.
Space group P2_1/c (No. 14)
Asymmetric unit:
Tl1 0.0555 0.2419 0.4240  6 Cl 3.20-3.55
Zn1 0.4416 0.0428 0.3530  4 Cl 2.23-2.40
Cl1 0.1014 0.1012 0.1763  1 Zn 2.25
Cl2 0.3205 0.5125 0.1768  1 Zn 2.23
Cl3 0.4384 0.6923 0.9515  2 Zn 2.35-2.40

## Properties
The calculation puts the total magnetization at 0.0 Bohr magnetons per cell. The value obtained for the density of states at the Fermi level is 0.000 states/eV per cell. Its energy relative to the elements, uncorrected is -5.6 eV/f.u. For the relative energy among the computed polymorphs, the calculation gives 9.8 meV per atom.

[2]
TlZnCl3: relaxed, PBE-GGA.

abc: 3.9400 7.6501 10.1070
angles: 90.00 90.00 90.00
Closest atoms and distances in Å follow each position.
Space group Amm2 (No. 38)
Asymmetric unit:
Tl1 0.0000 0.0000 0.0000  4 Cl 3.14
Zn1 0.5000 0.0000 0.4704  4 Cl 2.26-2.36
Cl1 0.0000 0.0000 0.5985  2 Zn 2.36
Cl2 0.5000 0.2493 0.3500  1 Zn 2.26

## Properties
The calculation puts the total magnetization at 0.0 Bohr magnetons per cell. The value obtained for the density of states at the Fermi level is 0.000 states/eV per cell. Its energy relative to the elements, uncorrected is -5.4 eV/f.u. For the relative energy among the computed polymorphs, the calculation gives 35.2 meV per atom.

Q: Look up the density of states at the Fermi level of the second one.
A: 0.000 states/eV per cell